No. 1
{"formula": "Pr3Sc5Te12", "functional": "PBE", "state": "relaxed", "lattice_angstrom": [[-8.905, 8.905, 8.905], [8.905, -8.905, 8.905], [8.905, 8.905, -8.905]], "species": ["Pr", "Pr", "Pr", "Pr", "Pr", "Pr", "Pr", "Pr", "Pr", "Pr", "Pr", "Pr", "Sc", "Sc", "Sc", "Sc", "Sc", "Sc", "Sc", "Sc", "Sc", "Sc", "Sc", "Sc", "Sc", "Sc", "Sc", "Sc", "Sc", "Sc", "Sc", "Sc", "Te", "Te", "Te", "Te", "Te", "Te", "Te", "Te", "Te", "Te", "Te", "Te", "Te", "Te", "Te", "Te", "Te", "Te", "Te", "Te", "Te", "Te", "Te", "Te", "Te", "Te", "Te", "Te", "Te", "Te", "Te", "Te", "Te", "Te", "Te", "Te", "Te", "Te", "Te", "Te", "Te", "Te", "Te", "Te", "Te", "Te", "Te", "Te"], "frac_coords": [[0.125, 0.250, 0.375], [0.125, 0.375, 0.750], [0.250, 0.375, 0.125], [0.250, 0.875, 0.625], [0.375, 0.125, 0.250], [0.375, 0.750, 0.125], [0.625, 0.250, 0.875], [0.625, 0.875, 0.750], [0.750, 0.125, 0.375], [0.750, 0.625, 0.875], [0.875, 0.625, 0.250], [0.875, 0.750, 0.625], [0.000, 0.000, 0.000], [0.000, 0.000, 0.500], [0.000, 0.500, 0.000], [0.000, 0.500, 0.500], [0.125, 0.750, 0.875], [0.125, 0.875, 0.250], [0.250, 0.125, 0.875], [0.250, 0.625, 0.375], [0.375, 0.250, 0.625], [0.375, 0.625, 0.750], [0.500, 0.000, 0.000], [0.500, 0.000, 0.500], [0.500, 0.500, 0.000], [0.500, 0.500, 0.500], [0.625, 0.375, 0.250], [0.625, 0.750, 0.375], [0.750, 0.375, 0.625], [0.750, 0.875, 0.125], [0.875, 0.125, 0.750], [0.875, 0.250, 0.125], [0.039, 0.214, 0.124], [0.039, 0.324, 0.915], [0.085, 0.624, 0.410], [0.085, 0.961, 0.676], [0.090, 0.714, 0.676], [0.090, 0.876, 0.415], [0.124, 0.039, 0.214], [0.124, 0.585, 0.910], [0.176, 0.214, 0.590], [0.176, 0.461, 0.585], [0.214, 0.124, 0.039], [0.214, 0.590, 0.176], [0.286, 0.324, 0.910], [0.286, 0.461, 0.376], [0.324, 0.910, 0.286], [0.324, 0.915, 0.039], [0.376, 0.286, 0.461], [0.376, 0.590, 0.915], [0.410, 0.085, 0.624], [0.410, 0.824, 0.786], [0.415, 0.090, 0.876], [0.415, 0.824, 0.539], [0.461, 0.376, 0.286], [0.461, 0.585, 0.176], [0.539, 0.415, 0.824], [0.539, 0.624, 0.714], [0.585, 0.176, 0.461], [0.585, 0.910, 0.124], [0.590, 0.176, 0.214], [0.590, 0.915, 0.376], [0.624, 0.410, 0.085], [0.624, 0.714, 0.539], [0.676, 0.085, 0.961], [0.676, 0.090, 0.714], [0.714, 0.539, 0.624], [0.714, 0.676, 0.090], [0.786, 0.410, 0.824], [0.786, 0.876, 0.961], [0.824, 0.539, 0.415], [0.824, 0.786, 0.410], [0.876, 0.415, 0.090], [0.876, 0.961, 0.786], [0.910, 0.124, 0.585], [0.910, 0.286, 0.324], [0.915, 0.039, 0.324], [0.915, 0.376, 0.590], [0.961, 0.676, 0.085], [0.961, 0.786, 0.876]], "e_form_raw_ev_per_atom": -1.166, "total_magnetization_mub_per_fu": 0.00}



No. 2
{"formula": "PrSc4Te6", "functional": "PBE", "state": "relaxed", "lattice_angstrom": [[2.093, -6.866, 0.000], [2.093, 6.866, 0.000], [0.000, 0.000, 21.487]], "species": ["Pr", "Pr", "Sc", "Sc", "Sc", "Sc", "Sc", "Sc", "Sc", "Sc", "Te", "Te", "Te", "Te", "Te", "Te", "Te", "Te", "Te", "Te", "Te", "Te"], "frac_coords": [[0.152, 0.848, 0.750], [0.848, 0.152, 0.250], [0.094, 0.906, 0.122], [0.094, 0.906, 0.378], [0.354, 0.646, 0.034], [0.354, 0.646, 0.466], [0.646, 0.354, 0.534], [0.646, 0.354, 0.966], [0.906, 0.094, 0.622], [0.906, 0.094, 0.878], [0.000, 0.000, 0.000], [0.000, 0.000, 0.500], [0.174, 0.826, 0.250], [0.265, 0.735, 0.592], [0.265, 0.735, 0.908], [0.454, 0.546, 0.157], [0.454, 0.546, 0.343], [0.546, 0.454, 0.657], [0.546, 0.454, 0.843], [0.735, 0.265, 0.092], [0.735, 0.265, 0.408], [0.826, 0.174, 0.750]], "e_form_raw_ev_per_atom": -1.241, "total_magnetization_mub_per_fu": 0.00}



No. 3
{"formula": "PrScTe2", "functional": "PBE", "state": "relaxed", "lattice_angstrom": [[-2.030, 2.030, 7.424], [2.030, -2.030, 7.424], [2.030, 2.030, -7.424]], "species": ["Pr", "Sc", "Te", "Te"], "frac_coords": [[0.000, 0.000, 0.000], [0.250, 0.750, 0.500], [0.382, 0.382, 0.000], [0.618, 0.618, 0.000]], "e_form_raw_ev_per_atom": -1.124, "total_magnetization_mub_per_fu": 0.00}



No. 4
{"formula": "PrScTe2", "functional": "PBE", "state": "relaxed", "lattice_angstrom": [[2.116, 1.222, 7.506], [-2.116, 1.222, 7.506], [0.000, -2.443, 7.506]], "species": ["Pr", "Sc", "Te", "Te"], "frac_coords": [[0.000, 0.000, 0.000], [0.173, 0.173, 0.173], [0.576, 0.576, 0.576], [0.762, 0.762, 0.762]], "e_form_raw_ev_per_atom": -1.300, "total_magnetization_mub_per_fu": 0.00}



No. 5
{"formula": "Pr2ScTe3", "functional": "PBE", "state": "relaxed", "lattice_angstrom": [[-2.054, 2.678, 8.608], [2.054, -2.678, 8.608], [2.054, 2.678, -8.608]], "species": ["Pr", "Pr", "Sc", "Te", "Te", "Te"], "frac_coords": [[0.143, 0.143, 0.000], [0.857, 0.857, 0.000], [0.500, 0.500, 0.000], [0.000, 0.500, 0.500], [0.330, 0.330, 0.000], [0.670, 0.670, 0.000]], "e_form_raw_ev_per_atom": -1.148, "total_magnetization_mub_per_fu": 0.00}



No. 6
{"formula": "PrScTe2", "functional": "PBE", "state": "relaxed", "lattice_angstrom": [[5.352, 0.000, 0.000], [0.000, 5.352, 0.000], [0.000, 0.000, 3.806]], "species": ["Pr", "Sc", "Te", "Te"], "frac_coords": [[0.000, 0.000, 0.000], [0.500, 0.500, 0.000], [0.000, 0.500, 0.500], [0.500, 0.000, 0.500]], "e_form_raw_ev_per_atom": -1.103, "total_magnetization_mub_per_fu": 1.17}



No. 7
{"formula": "PrScTe", "functional": "PBE", "state": "relaxed", "lattice_angstrom": [[4.373, 0.000, 0.000], [0.000, 4.373, 0.000], [0.000, 0.000, 8.572]], "species": ["Pr", "Pr", "Sc", "Sc", "Te", "Te"], "frac_coords": [[0.250, 0.250, 0.143], [0.750, 0.750, 0.857], [0.250, 0.750, 0.500], [0.750, 0.250, 0.500], [0.250, 0.250, 0.751], [0.750, 0.750, 0.249]], "e_form_raw_ev_per_atom": -0.937, "total_magnetization_mub_per_fu": 0.44}



No. 8
{"formula": "PrSc2Te4", "functional": "PBE", "state": "relaxed", "lattice_angstrom": [[13.155, 0.000, 0.000], [0.000, 4.179, 0.000], [0.000, 0.000, 15.209]], "species": ["Pr", "Pr", "Pr", "Pr", "Sc", "Sc", "Sc", "Sc", "Sc", "Sc", "Sc", "Sc", "Te", "Te", "Te", "Te", "Te", "Te", "Te", "Te", "Te", "Te", "Te", "Te", "Te", "Te", "Te", "Te"], "frac_coords": [[0.240, 0.250, 0.177], [0.260, 0.750, 0.677], [0.740, 0.250, 0.323], [0.760, 0.750, 0.823], [0.050, 0.250, 0.387], [0.091, 0.250, 0.911], [0.409, 0.750, 0.411], [0.450, 0.750, 0.887], [0.550, 0.250, 0.113], [0.591, 0.250, 0.589], [0.909, 0.750, 0.089], [0.950, 0.750, 0.613], [0.038, 0.750, 0.787], [0.101, 0.250, 0.573], [0.126, 0.750, 0.042], [0.199, 0.750, 0.338], [0.301, 0.250, 0.838], [0.374, 0.250, 0.542], [0.399, 0.750, 0.073], [0.462, 0.250, 0.287], [0.538, 0.750, 0.713], [0.601, 0.250, 0.927], [0.626, 0.750, 0.458], [0.699, 0.750, 0.162], [0.801, 0.250, 0.662], [0.874, 0.250, 0.958], [0.899, 0.750, 0.427], [0.962, 0.250, 0.213]], "e_form_raw_ev_per_atom": -1.305, "total_magnetization_mub_per_fu": 0.00}